The following is a DFT calculation (PBE) of a relaxed ZrBe2Re crystal.

a b c (Å): 2.7640 2.7640 7.0269
angles (deg): 90.00 90.00 90.00
Closest atoms and distances in Å follow each position.
Fractional coordinates of all 4 atoms:
Re  0.0000  0.0000  0.4386  5 Be 2.51-2.62, 4 Re 2.76
Zr  0.5000  0.5000  0.7815  4 Zr 2.76, 5 Be 2.80-3.04
Be  0.0000  0.0000  0.0662  4 Be 2.21
Be  0.5000  0.5000  0.2137  4 Be 2.21

Calculated values
Energy relative to the lowest polymorph listed for this composition = 386.2 meV/atom
D(E_F) = 4.244 states/eV/cell
Volume = 13.4 Å³/atom